# SrRe2Br (PBE-GGA, relaxed)
# Calculated total energy = -6.301 eV per atom
# E_form (uncorrected) = 17.56 kcal/mol of atoms
data_SrRe2Br
_cell_length_a 3.214
_cell_length_b 4.378
_cell_length_c 12.461
_cell_angle_alpha 90.00
_cell_angle_beta 90.00
_cell_angle_gamma 90.00
_symmetry_space_group_name_H-M 'I m m m'
_symmetry_Int_Tables_number 71
_symmetry_space_group_name_Hall '-I 2 2'
loop_
_atom_site_label
_atom_site_fract_x
_atom_site_fract_y
_atom_site_fract_z
_atom_site_occupancy
Sr1 0.000 0.000 0.000 1
Re1 0.000 0.500 0.242 1
Br1 0.000 0.000 0.500 1


# SrReBr2 (PBE-GGA, relaxed)
# Calculated total energy = -4.085 eV per atom
# E_form (uncorrected) = 6.56 kcal/mol of atoms
data_SrReBr2
_cell_length_a 3.548
_cell_length_b 4.726
_cell_length_c 6.295
_cell_angle_alpha 90.00
_cell_angle_beta 90.00
_cell_angle_gamma 90.00
_symmetry_space_group_name_H-M 'P m m m'
_symmetry_Int_Tables_number 47
_symmetry_space_group_name_Hall '-P 2 2'
loop_
_atom_site_label
_atom_site_fract_x
_atom_site_fract_y
_atom_site_fract_z
_atom_site_occupancy
Sr1 0.000 0.000 0.000 1
Re1 0.500 0.000 0.500 1
Br1 0.000 0.500 0.500 1
Br2 0.500 0.500 0.000 1


# SrReBr2 (PBE-GGA, relaxed)
# Calculated total energy = -4.103 eV per atom
# E_form (uncorrected) = 6.13 kcal/mol of atoms
data_SrReBr2
_cell_length_a 4.864
_cell_length_b 3.563
_cell_length_c 6.135
_cell_angle_alpha 90.00
_cell_angle_beta 111.51
_cell_angle_gamma 90.00
_symmetry_space_group_name_H-M 'P 1 2/m 1'
_symmetry_Int_Tables_number 10
_symmetry_space_group_name_Hall '-P 2y'
loop_
_atom_site_label
_atom_site_fract_x
_atom_site_fract_y
_atom_site_fract_z
_atom_site_occupancy
Sr1 0.000 0.000 0.000 1
Re1 0.000 0.500 0.500 1
Br1 0.500 0.000 0.500 1
Br2 0.500 0.500 0.000 1


# SrReBr2 (PBE-GGA, relaxed)
# Calculated total energy = -4.028 eV per atom
# E_form (uncorrected) = 7.85 kcal/mol of atoms
data_SrReBr2
_cell_length_a 4.319
_cell_length_b 4.319
_cell_length_c 12.018
_cell_angle_alpha 90.00
_cell_angle_beta 90.00
_cell_angle_gamma 90.00
_symmetry_space_group_name_H-M 'I -4 m 2'
_symmetry_Int_Tables_number 119
_symmetry_space_group_name_Hall 'I -4 -2'
loop_
_atom_site_label
_atom_site_fract_x
_atom_site_fract_y
_atom_site_fract_z
_atom_site_occupancy
Sr1 0.000 0.000 0.000 1
Re1 0.000 0.500 0.250 1
Br1 0.000 0.000 0.500 1
Br2 0.000 0.500 0.750 1


# SrRe2Br (PBE-GGA, relaxed)
# Calculated total energy = -5.977 eV per atom
# E_form (uncorrected) = 25.04 kcal/mol of atoms
data_SrRe2Br
_cell_length_a 3.073
_cell_length_b 5.394
_cell_length_c 5.908
_cell_angle_alpha 90.00
_cell_angle_beta 90.00
_cell_angle_gamma 90.00
_symmetry_space_group_name_H-M 'P m m m'
_symmetry_Int_Tables_number 47
_symmetry_space_group_name_Hall '-P 2 2'
loop_
_atom_site_label
_atom_site_fract_x
_atom_site_fract_y
_atom_site_fract_z
_atom_site_occupancy
Sr1 0.000 0.000 0.000 1
Re1 0.500 0.500 0.186 1
Br1 0.000 0.000 0.500 1


# SrRe2Br (PBE-GGA, relaxed)
# Calculated total energy = -4.997 eV per atom
# E_form (uncorrected) = 47.63 kcal/mol of atoms
data_SrRe2Br
_cell_length_a 6.765
_cell_length_b 6.765
_cell_length_c 6.765
_cell_angle_alpha 90.00
_cell_angle_beta 90.00
_cell_angle_gamma 90.00
_symmetry_space_group_name_H-M 'F m -3 m'
_symmetry_Int_Tables_number 225
_symmetry_space_group_name_Hall '-F 4 2 3'
loop_
_atom_site_label
_atom_site_fract_x
_atom_site_fract_y
_atom_site_fract_z
_atom_site_occupancy
Sr1 0.000 0.000 0.000 1
Re1 0.250 0.250 0.250 1
Br1 0.000 0.000 0.500 1


# SrRe2Br (PBE-GGA, relaxed)
# Calculated total energy = -5.827 eV per atom
# E_form (uncorrected) = 28.49 kcal/mol of atoms
data_SrRe2Br
_cell_length_a 6.823
_cell_length_b 6.823
_cell_length_c 6.823
_cell_angle_alpha 90.00
_cell_angle_beta 90.00
_cell_angle_gamma 90.00
_symmetry_space_group_name_H-M 'F -4 3 m'
_symmetry_Int_Tables_number 216
_symmetry_space_group_name_Hall 'F -4 2 3'
loop_
_atom_site_label
_atom_site_fract_x
_atom_site_fract_y
_atom_site_fract_z
_atom_site_occupancy
Sr1 0.000 0.000 0.000 1
Re1 0.000 0.000 0.500 1
Re2 0.250 0.250 0.750 1
Br1 0.250 0.250 0.250 1


# SrReBr2 (PBE-GGA, relaxed)
# Calculated total energy = -4.268 eV per atom
# E_form (uncorrected) = 2.34 kcal/mol of atoms
data_SrReBr2
_cell_length_a 3.592
_cell_length_b 4.582
_cell_length_c 7.261
_cell_angle_alpha 90.00
_cell_angle_beta 104.16
_cell_angle_gamma 90.00
_symmetry_space_group_name_H-M 'P 1 m 1'
_symmetry_Int_Tables_number 6
_symmetry_space_group_name_Hall 'P -2y'
loop_
_atom_site_label
_atom_site_fract_x
_atom_site_fract_y
_atom_site_fract_z
_atom_site_occupancy
Sr1 0.000 0.000 0.000 1
Re1 0.373 0.500 0.744 1
Br1 0.313 0.000 0.623 1
Br2 0.592 0.500 0.186 1


# SrRe2Br (PBE-GGA, relaxed)
# Calculated total energy = -6.624 eV per atom
# E_form (uncorrected) = 10.11 kcal/mol of atoms
data_SrRe2Br
_cell_length_a 12.174
_cell_length_b 3.575
_cell_length_c 4.786
_cell_angle_alpha 90.00
_cell_angle_beta 104.58
_cell_angle_gamma 90.00
_symmetry_space_group_name_H-M 'C 1 2/m 1'
_symmetry_Int_Tables_number 12
_symmetry_space_group_name_Hall '-C 2y'
loop_
_atom_site_label
_atom_site_fract_x
_atom_site_fract_y
_atom_site_fract_z
_atom_site_occupancy
Sr1 0.000 0.000 0.000 1
Re1 0.223 0.500 0.838 1
Br1 0.000 0.500 0.500 1


# SrRe2Br (PBE-GGA, relaxed)
# Calculated total energy = -6.407 eV per atom
# E_form (uncorrected) = 15.13 kcal/mol of atoms
data_SrRe2Br
_cell_length_a 3.615
_cell_length_b 5.877
_cell_length_c 9.392
_cell_angle_alpha 90.00
_cell_angle_beta 90.00
_cell_angle_gamma 90.00
_symmetry_space_group_name_H-M 'I m m 2'
_symmetry_Int_Tables_number 44
_symmetry_space_group_name_Hall 'I 2 -2'
loop_
_atom_site_label
_atom_site_fract_x
_atom_site_fract_y
_atom_site_fract_z
_atom_site_occupancy
Sr1 0.000 0.000 0.000 1
Re1 0.000 0.000 0.503 1
Re2 0.000 0.500 0.164 1
Br1 0.000 0.500 0.775 1


# SrRe2Br (PBE-GGA, relaxed)
# Calculated total energy = -5.774 eV per atom
# E_form (uncorrected) = 29.73 kcal/mol of atoms
data_SrRe2Br
_cell_length_a 5.338
_cell_length_b 11.451
_cell_length_c 2.775
_cell_angle_alpha 90.00
_cell_angle_beta 90.00
_cell_angle_gamma 90.00
_symmetry_space_group_name_H-M 'C m m m'
_symmetry_Int_Tables_number 65
_symmetry_space_group_name_Hall '-C 2 2'
loop_
_atom_site_label
_atom_site_fract_x
_atom_site_fract_y
_atom_site_fract_z
_atom_site_occupancy
Sr1 0.000 0.000 0.000 1
Re1 0.250 0.250 0.500 1
Br1 0.000 0.500 0.000 1


# SrReBr2 (PBE-GGA, relaxed)
# Calculated total energy = -4.060 eV per atom
# E_form (uncorrected) = 7.13 kcal/mol of atoms
data_SrReBr2
_cell_length_a 3.607
_cell_length_b 3.607
_cell_length_c 10.413
_cell_angle_alpha 90.00
_cell_angle_beta 90.00
_cell_angle_gamma 90.00
_symmetry_space_group_name_H-M 'P 4/m m m'
_symmetry_Int_Tables_number 123
_symmetry_space_group_name_Hall '-P 4 2'
loop_
_atom_site_label
_atom_site_fract_x
_atom_site_fract_y
_atom_site_fract_z
_atom_site_occupancy
Sr1 0.000 0.000 0.000 1
Re1 0.000 0.000 0.500 1
Br1 0.500 0.500 0.173 1


> Look up the E_form (uncorrected) of the twelfth one.

7.13 kcal/mol of atoms


> Which formula does entry 3 have?

SrReBr2